A relaxed SrHoCrO4 crystal. Source: Alexandria via LeMat-Bulk, functional PBE+U.

Properties
The space group is I4mm (107). The calculated total energy is -7.530 eV/atom.

a = 6.6413 Å, b = 6.6413 Å, c = 6.6413 Å
α = 146.15°, β = 146.15°, γ = 48.62°
Fractional positions:
Sr 0.0000 0.0000 0.0000
Ho 0.7172 0.7172 0.0000
Cr 0.3568 0.3568 0.0000
O 0.1909 0.1909 0.0000
O 0.3412 0.8412 0.5000
O 0.5330 0.5330 0.0000
O 0.8412 0.3412 0.5000